i.
Crystalline P3HPb at its relaxed geometry. Source: Alexandria via LeMat-Bulk, functional GGA-PBE.

a = 4.3147 Å, b = 4.3147 Å, c = 4.3147 Å
α = 90.00°, β = 90.00°, γ = 90.00°
Last column: nearest neighbours and their distance in Å.
Fractional coordinates of all 5 atoms:
P (0.0000, 0.0000, 0.5000)  2 H 2.16
P (0.5000, 0.0000, 0.0000)  2 H 2.16
P (0.0000, 0.5000, 0.0000)  2 H 2.16
Pb (0.5000, 0.5000, 0.5000)  12 P 3.05
H (0.0000, 0.0000, 0.0000)  6 P 2.16

## Properties
As for the density: 6.2 g/cm3. Its space group is Pm-3m, No. 221. The crystal system is cubic.

***

ii.
Crystalline P3HPb at its relaxed geometry. Source: Alexandria via LeMat-Bulk, functional GGA-PBE.

a = 5.3568 Å, b = 5.3568 Å, c = 5.3568 Å
α = 90.00°, β = 90.00°, γ = 90.00°
Last column: nearest neighbours and their distance in Å.
Fractional coordinates of all 5 atoms:
P (0.0000, 0.5000, 0.0000)  2 Pb 2.68
P (0.5000, 0.0000, 0.0000)  2 Pb 2.68
P (0.0000, 0.0000, 0.5000)  2 Pb 2.68
H (0.5000, 0.5000, 0.5000)  12 P 3.79
Pb (0.0000, 0.0000, 0.0000)  6 P 2.68

## Properties
As for the density: 3.3 g/cm3. Its space group is Pm-3m, No. 221. The crystal system is cubic.

***

Which of them is least stable? Easy: ii.